GeBiAuS2 | PBE-GGA | relaxed

Cell: 5.278 5.306 5.278 Å, 90.00 90.00 90.00°
Sites, in units of the cell vectors:
1 S 0.000 0.000 0.500
2 Bi 0.000 0.000 0.000
3 Ge 0.500 0.500 0.500
4 Au 0.000 0.500 0.000
5 S 0.500 0.000 0.000

Computed properties:
For the energy relative to the elements, uncorrected, the calculation gives 683 meV per atom. Its space group is P4/mmm (123).

Sn2GeBiAu4 | PBE-GGA | relaxed

Cell: 5.802 5.802 6.823 Å, 111.68 111.68 97.55°
Sites, in units of the cell vectors:
1 Sn 0.186 0.686 0.500
2 Bi 0.938 0.938 0.000
3 Au 0.669 0.669 0.466
4 Au 0.939 0.438 0.000
5 Au 0.438 0.939 0.000
6 Ge 0.438 0.438 0.000
7 Au 0.203 0.203 0.534
8 Sn 0.686 0.186 0.500

Computed properties:
Its space group is Fmm2 (42). The value obtained for the formation energy is -0.04 eV/atom.

Sr2GeBiAu6 | PBE-GGA | relaxed

Cell: 5.806 9.829 9.018 Å, 90.00 90.00 90.00°
Sites, in units of the cell vectors:
1 Au 0.752 0.544 0.000
2 Au 0.248 0.544 0.000
3 Au 0.500 0.102 0.249
4 Au 0.757 0.007 0.500
5 Au 0.000 0.898 0.749
6 Bi 0.000 0.706 0.500
7 Sr 0.500 0.743 0.249
8 Sr 0.000 0.257 0.749
9 Ge 0.000 0.760 0.000
10 Au 0.500 0.102 0.751
11 Au 0.000 0.898 0.251
12 Au 0.243 0.007 0.500
13 Sr 0.500 0.743 0.751
14 Au 0.252 0.456 0.500
15 Bi 0.500 0.294 0.000
16 Au 0.743 0.993 0.000
17 Au 0.748 0.456 0.500
18 Au 0.257 0.993 0.000
19 Sr 0.000 0.257 0.251
20 Ge 0.500 0.240 0.500

Computed properties:
Its space group is Pmmn (59). The value obtained for the formation energy is -0.44 eV/atom.

SrGeBi2Au | PBE-GGA | relaxed

Cell: 6.102 5.529 6.102 Å, 90.00 90.00 90.00°
Sites, in units of the cell vectors:
1 Sr 0.000 0.000 0.000
2 Au 0.000 0.500 0.000
3 Bi 0.500 0.000 0.000
4 Bi 0.000 0.000 0.500
5 Ge 0.500 0.500 0.500

Computed properties:
The energy above the lowest structure with this stoichiometry is 0.00 eV per formula unit. Its space group is P4/mmm (123). The value obtained for the formation energy is 0.90 eV/atom.

SrGeBi2Au | PBE-GGA | relaxed

Cell: 6.082 5.643 6.082 Å, 90.00 90.00 90.00°
Sites, in units of the cell vectors:
1 Bi 0.000 0.000 0.500
2 Au 0.500 0.500 0.500
3 Bi 0.500 0.000 0.000
4 Ge 0.000 0.500 0.000
5 Sr 0.000 0.000 0.000

Computed properties:
The energy above the lowest structure with this stoichiometry is 0.91 eV per formula unit. Its space group is P4/mmm (123). The value obtained for the formation energy is 1.08 eV/atom.

Sr2Ge3BiAu4 | PBE-GGA | relaxed

Cell: 4.591 4.591 11.355 Å, 90.00 90.00 90.00°
Sites, in units of the cell vectors:
1 Au 0.000 0.000 0.000
2 Sr 0.500 0.000 0.231
3 Bi 0.500 0.500 0.500
4 Ge 0.000 0.500 0.119
5 Sr 0.000 0.500 0.769
6 Ge 0.000 0.000 0.500
7 Au 0.000 0.500 0.341
8 Ge 0.500 0.000 0.881
9 Au 0.500 0.000 0.659
10 Au 0.500 0.500 0.000

Computed properties:
Its space group is P-4m2 (115). The value obtained for the formation energy is -0.48 eV/atom.

Sr3GeBi2Au6 | PBE-GGA | relaxed

Cell: 6.449 6.449 9.106 Å, 90.00 90.00 120.00°
Sites, in units of the cell vectors:
1 Sr 0.333 0.667 0.621
2 Bi 0.667 0.333 0.931
3 Sr 0.667 0.333 0.379
4 Ge 0.000 0.000 0.500
5 Sr 0.000 0.000 0.000
6 Au 0.165 0.835 0.300
7 Au 0.670 0.835 0.300
8 Au 0.330 0.165 0.700
9 Au 0.165 0.330 0.300
10 Bi 0.333 0.667 0.069
11 Au 0.835 0.670 0.700
12 Au 0.835 0.165 0.700

Computed properties:
Its space group is P-3m1 (164). The value obtained for the formation energy is -0.50 eV/atom.

Sr3Ge2BiAu6 | PBE-GGA | relaxed

Cell: 6.664 6.664 8.636 Å, 90.00 90.00 120.00°
Sites, in units of the cell vectors:
1 Sr 0.333 0.667 0.660
2 Ge 0.667 0.333 0.939
3 Au 0.635 0.818 0.277
4 Au 0.365 0.182 0.723
5 Ge 0.333 0.667 0.061
6 Au 0.818 0.635 0.723
7 Au 0.182 0.365 0.277
8 Sr 0.000 0.000 0.000
9 Sr 0.667 0.333 0.340
10 Au 0.818 0.182 0.723
11 Bi 0.000 0.000 0.500
12 Au 0.182 0.818 0.277

Computed properties:
Its space group is P-3m1 (164). The value obtained for the formation energy is -0.44 eV/atom.

Sr2Ge3BiAu12 | PBE-GGA | relaxed

Cell: 9.038 9.038 9.038 Å, 56.03 56.03 56.03°
Sites, in units of the cell vectors:
1 Au 0.367 0.866 0.367
2 Au 0.134 0.633 0.633
3 Au 0.876 0.876 0.406
4 Au 0.594 0.124 0.124
5 Au 0.124 0.594 0.124
6 Au 0.876 0.406 0.876
7 Sr 0.623 0.623 0.623
8 Au 0.124 0.124 0.594
9 Au 0.633 0.134 0.633
10 Sr 0.377 0.377 0.377
11 Ge 0.000 0.500 0.000
12 Ge 0.500 0.000 0.000
13 Au 0.866 0.367 0.367
14 Au 0.633 0.633 0.134
15 Ge 0.000 0.000 0.500
16 Au 0.367 0.367 0.866
17 Bi 0.000 0.000 0.000
18 Au 0.406 0.876 0.876

Computed properties:
Its space group is R-3m (166). The value obtained for the formation energy is 0.02 eV/atom.

TlGeBiAu3 | PBE-GGA | relaxed

Cell: 7.285 6.900 7.151 Å, 61.15 85.79 81.25°
Sites, in units of the cell vectors:
1 Au 0.990 0.309 0.819
2 Tl 0.250 0.257 0.487
3 Au 0.490 0.128 0.181
4 Ge 0.250 0.982 0.036
5 Tl 0.750 0.743 0.513
6 Au 0.010 0.691 0.181
7 Ge 0.750 0.018 0.964
8 Bi 0.250 0.547 0.906
9 Au 0.750 0.226 0.549
10 Au 0.250 0.774 0.451
11 Au 0.510 0.872 0.819
12 Bi 0.750 0.453 0.094

Computed properties:
Its space group is C2/c (15). The value obtained for the formation energy is 0.03 eV/atom.

Tl2GeBiAu6 | PBE-GGA | relaxed

Cell: 5.844 9.526 9.098 Å, 90.00 90.00 90.00°
Sites, in units of the cell vectors:
1 Au 0.760 0.008 0.500
2 Ge 0.000 0.767 0.000
3 Au 0.740 0.992 0.000
4 Au 0.260 0.992 0.000
5 Au 0.752 0.546 0.000
6 Au 0.000 0.895 0.750
7 Ge 0.500 0.233 0.500
8 Au 0.252 0.454 0.500
9 Au 0.240 0.008 0.500
10 Au 0.248 0.546 0.000
11 Au 0.500 0.105 0.250
12 Bi 0.500 0.290 0.000
13 Au 0.000 0.895 0.250
14 Tl 0.000 0.288 0.241
15 Au 0.500 0.105 0.750
16 Tl 0.500 0.712 0.259
17 Tl 0.500 0.712 0.741
18 Tl 0.000 0.288 0.759
19 Bi 0.000 0.710 0.500
20 Au 0.748 0.454 0.500

Computed properties:
Its space group is Pmmn (59). The value obtained for the formation energy is 0.03 eV/atom.

VGeBi2Au | PBE-GGA | relaxed

Cell: 5.462 4.749 5.462 Å, 90.00 90.00 90.00°
Sites, in units of the cell vectors:
1 Au 0.500 0.500 0.500
2 Ge 0.000 0.000 0.000
3 Bi 0.000 0.000 0.500
4 Bi 0.500 0.000 0.000
5 V 0.000 0.500 0.000

Computed properties:
Its space group is P4/mmm (123). The value obtained for the formation energy is 0.81 eV/atom.

Record-wise DOS at the Fermi energy values, in states/eV/f.u.: 1.12 3.16 3.24 4.72 5.34 3.83 5.03 2.94 6.95 2.54 2.81 4.70
Record-wise calculated density values, in g/cm3: 6.10 11.51 10.57 6.25 6.17 9.65 9.80 9.00 10.39 11.49 12.28 8.65